Density functional theory data (PBE-GGA) for an optimized crystal structure of LiMg2Zn2.

```
10
Lattice="-1.072 7.914 -0.840 -2.355 -1.126 -7.594 -2.831 -0.286 0.920" Properties=species:S:1:pos:R:3 pbc="T T T"
Zn -3.155 0.408 -4.720
Zn -4.096 4.171 -6.447
Zn -3.103 6.095 -2.794
Zn -2.162 2.332 -1.068
Mg -2.429 1.916 -6.877
Mg -2.423 6.132 -5.549
Mg -0.998 4.873 -1.558
Mg -1.005 0.656 -2.886
Li 0.000 0.000 0.000
Li -1.714 3.394 -4.217
```

Output
ΔE_f: -35.7 meV/atom
Size of the total moment: 0.00 μB per formula unit
Energy above the lowest structure with this stoichiometry: 79 meV per atom